1.
# ErPaTi2O8 PBE optimized geometry
data_ErPaTi2O8
_chemical_formula_sum 'Er2 Pa2 Ti4 O16'
_space_group_name_H-M_alt 'I -4'
_space_group_IT_number 82
_space_group_name_Hall 'I -4'
_cell_length_a 5.145
_cell_length_b 5.145
_cell_length_c 10.954
_cell_angle_alpha 90.00
_cell_angle_beta 90.00
_cell_angle_gamma 90.00
loop_
_atom_site_label
_atom_site_type_symbol
_atom_site_fract_x
_atom_site_fract_y
_atom_site_fract_z
Er1 Er 0.000 0.000 0.000
Pa1 Pa 0.000 0.500 0.250
Ti1 Ti 0.000 0.000 0.500
Ti2 Ti 0.000 0.500 0.750
O1 O 0.171 0.257 0.412
O2 O 0.176 0.761 0.834
# final energy: -9.15 eV per atom
# DOS(E_F): 0.00 states/eV per atom
# uncorrected formation energy: -3.35 eV/atom

2.
# ErPaTl2O8 PBE optimized geometry
data_ErPaTl2O8
_chemical_formula_sum 'Er2 Pa2 Tl4 O16'
_space_group_name_H-M_alt 'I -4 m 2'
_space_group_IT_number 119
_space_group_name_Hall 'I -4 -2'
_cell_length_a 7.005
_cell_length_b 7.005
_cell_length_c 7.546
_cell_angle_alpha 90.00
_cell_angle_beta 90.00
_cell_angle_gamma 90.00
loop_
_atom_site_label
_atom_site_type_symbol
_atom_site_fract_x
_atom_site_fract_y
_atom_site_fract_z
Er1 Er 0.000 0.000 0.000
Pa1 Pa 0.000 0.500 0.250
Tl1 Tl 0.000 0.000 0.500
Tl2 Tl 0.000 0.500 0.750
O1 O 0.000 0.188 0.276
O2 O 0.000 0.322 0.979
# final energy: -6.67 eV per atom
# DOS(E_F): 0.89 states/eV per atom
# uncorrected formation energy: -1.80 eV/atom